First-principles (PBE-GGA) data for a relaxed Mg4TcTe crystal, as listed in Alexandria.

Computed properties:
* energy: -2.944 eV per atom
* calculated volume: 19.976 Å³/atom
* symmetry: No. 216
* ΔE_f (raw): 370 meV/atom

abc: 5.5343 5.5343 5.5343
angles: 60.00 60.00 60.00
Closest atoms and distances in Å follow each position.
Fractional positions:
Mg 0.1235 0.1235 0.1235  6 Mg 2.73-2.80
Mg 0.1235 0.1235 0.6296  6 Mg 2.73-2.80
Mg 0.1235 0.6296 0.1235  6 Mg 2.73-2.80
Mg 0.6296 0.1235 0.1235  6 Mg 2.73-2.80
Tc 0.7500 0.7500 0.7500  12 Mg 3.24, 4 Te 3.39
Te 0.5000 0.5000 0.5000  12 Mg 3.25, 4 Tc 3.39

First-principles (PBE-GGA) data for a relaxed La2MgU2Ru5 crystal, as listed in Alexandria.

Computed properties:
* energy: -8.181 eV per atom
* calculated volume: 20.179 Å³/atom
* symmetry: No. 127
* ΔH_f (0 K): -1.40 eV per formula unit

abc: 11.0884 11.0884 3.2825
angles: 90.00 90.00 90.00
Closest atoms and distances in Å follow each position.
Fractional positions:
La 0.1591 0.3409 0.0000  1 U 2.88, 2 Ru 2.99
La 0.3409 0.8409 0.0000  1 U 2.88, 2 Ru 2.99
La 0.6591 0.1591 0.0000  1 U 2.88, 2 Ru 2.99
La 0.8409 0.6591 0.0000  1 U 2.88, 2 Ru 2.99
Mg 0.0000 0.0000 0.0000  8 Ru 2.86
Mg 0.5000 0.5000 0.0000  8 Ru 2.86
U 0.1574 0.6574 0.0000  4 Ru 2.50
U 0.3426 0.1574 0.0000  4 Ru 2.50
U 0.6574 0.8426 0.0000  4 Ru 2.50
U 0.8426 0.3426 0.0000  4 Ru 2.50
Ru 0.0000 0.5000 0.5000  4 U 2.96, 4 La 2.99, 2 Ru 3.28
Ru 0.0612 0.7984 0.5000  2 U 2.50
Ru 0.2016 0.0612 0.5000  2 U 2.50
Ru 0.2984 0.5612 0.5000  2 U 2.50
Ru 0.4388 0.2984 0.5000  2 U 2.50
Ru 0.5000 0.0000 0.5000  4 U 2.96, 4 La 2.99, 2 Ru 3.28
Ru 0.5612 0.7016 0.5000  2 U 2.50
Ru 0.7016 0.4388 0.5000  2 U 2.50
Ru 0.7984 0.9388 0.5000  2 U 2.50
Ru 0.9388 0.2016 0.5000  2 U 2.50

First-principles (PBE-GGA) data for a relaxed K2MgTl8 crystal, as listed in Alexandria.

Computed properties:
* energy: -2.084 eV per atom
* calculated volume: 32.010 Å³/atom
* symmetry: No. 123
* ΔH_f (0 K): -0.21 eV per formula unit

abc: 5.1924 5.1924 13.0600
angles: 90.00 90.00 90.00
Closest atoms and distances in Å follow each position.
Fractional positions:
K 0.0000 0.0000 0.1883  12 Tl 3.54-3.67
K 0.0000 0.0000 0.8117  12 Tl 3.54-3.67
Mg 0.0000 0.0000 0.5000  8 Tl 3.08
Tl 0.0000 0.5000 0.0000  8 Tl 3.54-3.67, 4 K 3.58
Tl 0.0000 0.5000 0.3727  2 Mg 3.08, 1 Tl 3.33
Tl 0.0000 0.5000 0.6273  2 Mg 3.08, 1 Tl 3.33
Tl 0.5000 0.0000 0.0000  8 Tl 3.54-3.67, 4 K 3.58
Tl 0.5000 0.0000 0.3727  2 Mg 3.08, 1 Tl 3.33
Tl 0.5000 0.0000 0.6273  2 Mg 3.08, 1 Tl 3.33
Tl 0.5000 0.5000 0.1846  8 Tl 3.54-3.57, 4 K 3.67
Tl 0.5000 0.5000 0.8154  8 Tl 3.54-3.57, 4 K 3.67

First-principles (PBE-GGA) data for a relaxed Pr6SiOs2Br3 crystal, as listed in Alexandria.

Computed properties:
* energy: -5.916 eV per atom
* calculated volume: 30.080 Å³/atom
* symmetry: No. 12
* ΔE_f (raw): -785 meV/atom

abc: 7.3402 7.3402 8.1233
angles: 98.72 98.72 120.06
Closest atoms and distances in Å follow each position.
Fractional positions:
Pr 0.0850 0.4343 0.8004  2 Os 2.84-2.85, 1 Si 2.99
Pr 0.2178 0.2178 0.1999  2 Os 2.85, 1 Si 2.99
Pr 0.4343 0.0850 0.8004  2 Os 2.84-2.85, 1 Si 2.99
Pr 0.5657 0.9150 0.1996  2 Os 2.84-2.85, 1 Si 2.99
Pr 0.7822 0.7822 0.8001  2 Os 2.85, 1 Si 2.99
Pr 0.9150 0.5657 0.1996  2 Os 2.84-2.85, 1 Si 2.99
Si 0.5000 0.5000 0.0000  6 Pr 2.99
Os 0.1666 0.8334 0.0000  6 Pr 2.84-2.85
Os 0.8334 0.1666 0.0000  6 Pr 2.84-2.85
Br 0.0000 0.0000 0.5000  6 Pr 3.29-3.42
Br 0.3359 0.6641 0.5000  6 Pr 3.31-3.42
Br 0.6641 0.3359 0.5000  6 Pr 3.31-3.42

First-principles (PBE-GGA) data for a relaxed CaCdNF2 crystal, as listed in Alexandria.

Computed properties:
* energy: -4.233 eV per atom
* calculated volume: 17.640 Å³/atom
* symmetry: No. 123
* energy above the most stable polymorph in this dataset: 0.000 eV per atom
* ΔE_f (raw): -1236 meV/atom

abc: 4.2172 4.2172 4.9593
angles: 90.00 90.00 90.00
Closest atoms and distances in Å follow each position.
Fractional positions:
Ca 0.0000 0.0000 0.0000  4 F 2.11
Cd 0.5000 0.5000 0.5000  4 N 2.98, 8 F 3.25
N 0.0000 0.0000 0.5000  2 Ca 2.48
F 0.0000 0.5000 0.0000  2 Ca 2.11
F 0.5000 0.0000 0.0000  2 Ca 2.11

First-principles (PBE-GGA) data for a relaxed HfHg3F crystal, as listed in Alexandria.

Computed properties:
* energy: -2.275 eV per atom
* calculated volume: 35.813 Å³/atom
* symmetry: No. 221
* energy above the most stable polymorph in this dataset: 0.131 eV per atom
* ΔE_f (raw): 271 meV/atom

abc: 5.6364 5.6364 5.6364
angles: 90.00 90.00 90.00
Closest atoms and distances in Å follow each position.
Fractional positions:
Hf 0.0000 0.0000 0.0000  6 Hg 2.82
Hg 0.0000 0.0000 0.5000  2 Hf 2.82
Hg 0.0000 0.5000 0.0000  2 Hf 2.82
Hg 0.5000 0.0000 0.0000  2 Hf 2.82
F 0.5000 0.5000 0.5000  12 Hg 3.99

First-principles (PBE-GGA) data for a relaxed Ta3NiH4 crystal, as listed in Alexandria.

Computed properties:
* energy: -6.872 eV per atom
* calculated volume: 9.879 Å³/atom
* symmetry: No. 31

abc: 5.9952 5.1656 5.1040
angles: 90.00 90.00 90.00
Closest atoms and distances in Å follow each position.
Fractional positions:
Ta 0.0000 0.1963 0.0000  4 H 1.91-1.96
Ta 0.2495 0.3374 0.5084  4 H 1.93-1.95
Ta 0.2505 0.6626 0.0084  4 H 1.93-1.95
Ta 0.5000 0.8037 0.5000  4 H 1.91-1.96
Ta 0.7495 0.6626 0.0084  4 H 1.93-1.95
Ta 0.7505 0.3374 0.5084  4 H 1.93-1.95
Ni 0.0000 0.8447 0.4851  4 H 1.64-1.69
Ni 0.5000 0.1553 0.9851  4 H 1.64-1.69
H 0.0000 0.1276 0.6329  1 Ni 1.64
H 0.0000 0.8511 0.1596  1 Ni 1.66
H 0.2160 0.6895 0.6304  1 Ni 1.69
H 0.2840 0.3105 0.1304  1 Ni 1.69
H 0.5000 0.1489 0.6596  1 Ni 1.66
H 0.5000 0.8724 0.1329  1 Ni 1.64
H 0.7160 0.3105 0.1304  1 Ni 1.69
H 0.7840 0.6895 0.6304  1 Ni 1.69

First-principles (PBE-GGA) data for a relaxed ScPaSbTe crystal, as listed in Alexandria.

Computed properties:
* energy: -6.420 eV per atom
* calculated volume: 25.095 Å³/atom
* symmetry: No. 216
* ΔE_f (raw): -647 meV/atom

abc: 5.2166 5.2166 5.2166
angles: 60.00 60.00 60.00
Closest atoms and distances in Å follow each position.
Fractional positions:
Sc 0.0000 0.0000 0.0000  4 Te 3.19, 4 Sb 3.19
Pa 0.5000 0.5000 0.5000  4 Te 3.19, 4 Sb 3.19
Sb 0.2500 0.2500 0.2500  4 Pa 3.19, 4 Sc 3.19
Te 0.7500 0.7500 0.7500  4 Pa 3.19, 4 Sc 3.19

First-principles (PBE-GGA) data for a relaxed CsCuHgCl4 crystal, as listed in Alexandria.

Computed properties:
* energy: -2.762 eV per atom
* calculated volume: 30.730 Å³/atom
* symmetry: No. 11
* ΔE_f (raw): -957 meV/atom

abc: 5.8425 7.7726 9.8635
angles: 90.00 106.16 90.00
Closest atoms and distances in Å follow each position.
Fractional positions:
Cs 0.2162 0.2500 0.3837  9 Cl 3.53-3.89, 1 Cu 3.88
Cs 0.7838 0.7500 0.6163  9 Cl 3.53-3.89, 1 Cu 3.88
Cu 0.2280 0.2500 0.7786  3 Cl 2.22-2.39
Cu 0.7720 0.7500 0.2214  3 Cl 2.22-2.39
Hg 0.3273 0.7500 0.1199  1 Cl 2.40, 1 Cu 2.51
Hg 0.6727 0.2500 0.8801  1 Cl 2.40, 1 Cu 2.51
Cl 0.0863 0.2500 0.0120  1 Hg 2.40, 1 Cu 2.65
Cl 0.1723 0.7500 0.3706  1 Cu 2.39
Cl 0.3438 0.5211 0.7721  1 Cu 2.22
Cl 0.3438 0.9789 0.7721  1 Cu 2.22
Cl 0.6562 0.0211 0.2279  1 Cu 2.22
Cl 0.6562 0.4789 0.2279  1 Cu 2.22
Cl 0.8277 0.2500 0.6294  1 Cu 2.39
Cl 0.9137 0.7500 0.9880  1 Hg 2.40, 1 Cu 2.65

First-principles (PBE-GGA) data for a relaxed Ba4TlRe crystal, as listed in Alexandria.

Computed properties:
* energy: -2.581 eV per atom
* calculated volume: 41.408 Å³/atom
* symmetry: No. 216
* ΔH_f (0 K): 7.02 eV per formula unit

abc: 7.0564 7.0564 7.0564
angles: 60.00 60.00 60.00
Closest atoms and distances in Å follow each position.
Fractional positions:
Ba 0.1245 0.1245 0.1245  6 Ba 3.51-3.54
Ba 0.1245 0.1245 0.6265  6 Ba 3.51-3.54
Ba 0.1245 0.6265 0.1245  6 Ba 3.51-3.54
Ba 0.6265 0.1245 0.1245  6 Ba 3.51-3.54
Tl 0.5000 0.5000 0.5000  12 Ba 4.14, 4 Re 4.32
Re 0.7500 0.7500 0.7500  12 Ba 4.14, 4 Tl 4.32

First-principles (PBE-GGA) data for a relaxed Rb2UCuO5 crystal, as listed in Alexandria.

Computed properties:
* energy: -6.657 eV per atom
* calculated volume: 19.214 Å³/atom
* symmetry: No. 36
* ΔE_f (raw): -1978 meV/atom

abc: 8.6362 8.6362 11.7015
angles: 90.00 90.00 156.65
Closest atoms and distances in Å follow each position.
Fractional positions:
Rb 0.1015 0.8985 0.5000  5 O 2.83-3.16
Rb 0.1216 0.8784 0.1336  5 O 2.79-3.10
Rb 0.8784 0.1216 0.6336  5 O 2.79-3.10
Rb 0.8985 0.1015 0.0000  5 O 2.83-3.16
U 0.2124 0.7876 0.8363  2 O 1.92-2.05
U 0.7876 0.2124 0.3363  2 O 1.92-2.05
Cu 0.4410 0.5590 0.2642  1 O 1.78
Cu 0.5590 0.4410 0.7642  1 O 1.78
O 0.0913 0.9087 0.8488  1 U 2.05, 2 Cu 2.08
O 0.2845 0.7155 0.4467  2 U 2.17
O 0.2935 0.7065 0.2246  2 U 2.18
O 0.3260 0.6740 0.8272  1 U 1.92
O 0.4930 0.5070 0.1322  1 Cu 1.78
O 0.5070 0.4930 0.6322  1 Cu 1.78
O 0.6740 0.3260 0.3272  1 U 1.92
O 0.7065 0.2935 0.7246  2 U 2.18
O 0.7155 0.2845 0.9467  2 U 2.17
O 0.9087 0.0913 0.3488  1 U 2.05, 2 Cu 2.08

First-principles (PBE-GGA) data for a relaxed Cs3DyEr3Te8 crystal, as listed in Alexandria.

Computed properties:
* energy: -4.382 eV per atom
* calculated volume: 41.211 Å³/atom
* symmetry: No. 166
* ΔE_f (raw): -1316 meV/atom

abc: 10.5203 10.5203 10.5203
angles: 49.46 49.46 49.46
Closest atoms and distances in Å follow each position.
Fractional positions:
Cs 0.0000 0.5000 0.5000  6 Te 3.83
Cs 0.5000 0.0000 0.5000  6 Te 3.83
Cs 0.5000 0.5000 0.0000  6 Te 3.83
Dy 0.5000 0.5000 0.5000  6 Te 3.11
Er 0.0000 0.0000 0.5000  6 Te 3.07-3.08
Er 0.0000 0.5000 0.0000  6 Te 3.07-3.08
Er 0.5000 0.0000 0.0000  6 Te 3.07-3.08
Te 0.2258 0.7320 0.7320  2 Er 3.07, 1 Dy 3.11
Te 0.2297 0.2297 0.2297  3 Er 3.08
Te 0.2680 0.2680 0.7742  2 Er 3.07, 1 Dy 3.11
Te 0.2680 0.7742 0.2680  2 Er 3.07, 1 Dy 3.11
Te 0.7320 0.2258 0.7320  2 Er 3.07, 1 Dy 3.11
Te 0.7320 0.7320 0.2258  2 Er 3.07, 1 Dy 3.11
Te 0.7703 0.7703 0.7703  3 Er 3.08
Te 0.7742 0.2680 0.2680  2 Er 3.07, 1 Dy 3.11

Number 1: spin magnetization 0.000 μB per cell. Number 2: spin magnetization 0.000 μB per cell. Number 3: spin magnetization 0.000 μB per cell. Number 4: spin magnetization 0.000 μB per cell. Number 5: spin magnetization 1.059 μB per cell. Number 6: spin magnetization 0.000 μB per cell. Number 7: spin magnetization 0.000 μB per cell. Number 8: spin magnetization 1.859 μB per cell. Number 9: spin magnetization 0.013 μB per cell. Number 10: spin magnetization 2.164 μB per cell. Number 11: spin magnetization 2.015 μB per cell. Number 12: spin magnetization 0.000 μB per cell.